The following is a DFT calculation (GGA-PBE) of crystalline Na2Pa2Se5 at its relaxed geometry.

energy relative to the elements, uncorrected	-1228	meV per atom
Fermi-level density of states	9.68	states/eV/f.u.
offset from the most stable computed form	0.000	eV/atom
magnetic moment	4.07	Bohr magnetons per cell
energy	-0.2046	hartree per atom

Cell: 5.7727 17.2079 5.7232 Å, 90.00 90.00 90.00°
Space group Cmmm (No. 65)
Unique sites:
Na: 0.0000 0.1615 0.0000 x4
Pa: 0.0000 0.3411 0.5000 x4
Se: 0.0000 0.1704 0.5000 x4
Se: 0.0000 0.3399 0.0000 x4
Se: 0.0000 0.5000 0.5000 x2